1.
# ZnCrTc

A crystal of ZnCrTc relaxed with PBEsol (SCAN, the Alexandria database).

The structure in CIF format:
```
data_ZnCrTc
_chemical_formula_sum 'Zn1 Cr1 Tc1'
_cell_length_a 4.1789
_cell_length_b 4.1789
_cell_length_c 2.5391
_cell_angle_alpha 90.00
_cell_angle_beta 90.00
_cell_angle_gamma 120.00
_symmetry_space_group_name_H-M 'P 3 m 1'
_symmetry_Int_Tables_number 156
loop_
_symmetry_equiv_pos_as_xyz
'x,y,z'
'-y,x-y,z'
'-x+y,-x,z'
'-y,-x,z'
'-x+y,y,z'
'x,x-y,z'
loop_
_atom_site_label
_atom_site_fract_x
_atom_site_fract_y
_atom_site_fract_z
Zn1 0.0000 0.0000 0.0000
Cr1 0.3333 0.6667 0.3480
Tc1 0.6667 0.3333 0.5881
```

Summary:
Fermi-level density of states: 2.1 states/eV per cell
E above lowest polymorph: 51 meV per atom
ΔE_f: 0.03 eV per atom

2.
# ZnCrTc2

A crystal of ZnCrTc2 relaxed with PBEsol (SCAN, the Alexandria database).

The structure in CIF format:
```
data_ZnCrTc2
_chemical_formula_sum 'Zn1 Cr1 Tc2'
_cell_length_a 2.569
_cell_length_b 4.177
_cell_length_c 5.042
_cell_angle_alpha 90.00
_cell_angle_beta 103.59
_cell_angle_gamma 90.00
_symmetry_space_group_name_H-M 'P 1 m 1'
_symmetry_Int_Tables_number 6
loop_
_symmetry_equiv_pos_as_xyz
'x,y,z'
'x,-y,z'
loop_
_atom_site_label
_atom_site_fract_x
_atom_site_fract_y
_atom_site_fract_z
Zn1 0.000 0.000 0.000
Cr1 0.765 0.500 0.239
Tc1 0.325 0.500 0.754
Tc2 0.590 0.000 0.484
```

Summary:
Fermi-level density of states: 3.5 states/eV per cell
ΔE_f: 0.12 eV per atom